# 1
# PBE-GGA YRhBr2, relaxed
# Formation energy without anion corrections ... -401 meV/atom
# Size of the total moment ... 0.00 μB per formula unit
# V ... 21.791 Å³/atom
data_YRhBr2
_chemical_formula_sum 'Y4 Rh4 Br8'
_space_group_name_H-M_alt 'F -4 3 m'
_space_group_IT_number 216
_space_group_name_Hall 'F -4 2 3'
_cell_length_a 7.038
_cell_length_b 7.038
_cell_length_c 7.038
_cell_angle_alpha 90.00
_cell_angle_beta 90.00
_cell_angle_gamma 90.00
loop_
_atom_site_label
_atom_site_type_symbol
_atom_site_fract_x
_atom_site_fract_y
_atom_site_fract_z
Y1 Y 0.000 0.000 0.000
Rh1 Rh 0.250 0.250 0.750
Br1 Br 0.000 0.000 0.500
Br2 Br 0.250 0.250 0.250

***

# 2
# PBE-GGA Ga6FeRh5, relaxed
# Calculated formation energy ... -0.584 eV/atom
# Size of the total moment ... 0.00 μB per formula unit
# V ... 13.656 Å³/atom
data_Ga6FeRh5
_chemical_formula_sum 'Ga12 Fe2 Rh10'
_space_group_name_H-M_alt 'I m m m'
_space_group_IT_number 71
_space_group_name_Hall '-I 2 2'
_cell_length_a 4.259
_cell_length_b 6.023
_cell_length_c 12.777
_cell_angle_alpha 90.00
_cell_angle_beta 90.00
_cell_angle_gamma 90.00
loop_
_atom_site_label
_atom_site_type_symbol
_atom_site_fract_x
_atom_site_fract_y
_atom_site_fract_z
Ga1 Ga 0.000 0.239 0.000
Ga2 Ga 0.000 0.256 0.337
Fe1 Fe 0.000 0.500 0.500
Rh1 Rh 0.000 0.000 0.170
Rh2 Rh 0.000 0.000 0.500
Rh3 Rh 0.000 0.500 0.166

***

# 3
# PBE-GGA Ce2YZn2Ga2, relaxed
# Calculated formation energy ... -0.429 eV/atom
# Size of the total moment ... 1.45 μB per formula unit
# V ... 21.091 Å³/atom
data_Ce2YZn2Ga2
_chemical_formula_sum 'Ce6 Y3 Zn6 Ga6'
_space_group_name_H-M_alt 'R -3 m'
_space_group_IT_number 166
_space_group_name_Hall '-R 3 2"'
_cell_length_a 4.3371
_cell_length_b 4.3371
_cell_length_c 27.1890
_cell_angle_alpha 90.00
_cell_angle_beta 90.00
_cell_angle_gamma 120.00
loop_
_atom_site_label
_atom_site_type_symbol
_atom_site_fract_x
_atom_site_fract_y
_atom_site_fract_z
Ce1 Ce 0.0000 0.0000 0.1417
Y1 Y 0.0000 0.0000 0.0000
Zn1 Zn 0.0000 0.0000 0.4027
Ga1 Ga 0.0000 0.0000 0.2639

***

# 4
# PBE-GGA NiSe3, relaxed
# Formation energy without anion corrections ... 27 meV/atom
# Size of the total moment ... 0.00 μB per formula unit
# V ... 21.525 Å³/atom
data_NiSe3
_chemical_formula_sum 'Ni2 Se6'
_space_group_name_H-M_alt 'I m m 2'
_space_group_IT_number 44
_space_group_name_Hall 'I 2 -2'
_cell_length_a 3.433
_cell_length_b 10.704
_cell_length_c 4.686
_cell_angle_alpha 90.00
_cell_angle_beta 90.00
_cell_angle_gamma 90.00
loop_
_atom_site_label
_atom_site_type_symbol
_atom_site_fract_x
_atom_site_fract_y
_atom_site_fract_z
Ni1 Ni 0.000 0.000 0.000
Se1 Se 0.000 0.353 0.627
Se2 Se 0.000 0.500 0.128